[1]
This record from the Alexandria database describes a geometry-optimized Sm6Ni2GeI3 structure. The functional is PBE.

a = 7.2401 Å, b = 7.2401 Å, c = 8.1914 Å
α = 98.50°, β = 98.50°, γ = 120.02°
Last column: nearest neighbours and their distance in Å.
Fractional coordinates of all 12 atoms:
Sm1 0.0857 0.4350 0.8106  2 Ni 2.77-2.78, 1 Ge 2.94
Sm2 0.2134 0.2134 0.1884  2 Ni 2.79, 1 Ge 2.93
Sm3 0.4350 0.0857 0.8106  2 Ni 2.77-2.78, 1 Ge 2.94
Sm4 0.5650 0.9143 0.1894  2 Ni 2.77-2.78, 1 Ge 2.94
Sm5 0.7866 0.7866 0.8116  2 Ni 2.79, 1 Ge 2.93
Sm6 0.9143 0.5650 0.1894  2 Ni 2.77-2.78, 1 Ge 2.94
Ni1 0.1676 0.8324 0.0000  6 Sm 2.77-2.79
Ni2 0.8324 0.1676 0.0000  6 Sm 2.77-2.79
Ge1 0.5000 0.5000 0.0000  6 Sm 2.93-2.94
I1 0.0000 0.0000 0.5000  6 Sm 3.35-3.46
I2 0.3386 0.6614 0.5000  6 Sm 3.38-3.48
I3 0.6614 0.3386 0.5000  6 Sm 3.38-3.48

Its density of states at the Fermi level is 10.77 states/eV/cell. As for the size of the total moment: 0.00 μB/atom. Its space group is C2/m, No. 12. The value obtained for the formation energy (no corrections) is -70.61 kJ per mole of atoms.

[2]
This record from the Alexandria database describes a geometry-optimized Sr2NiGeI structure. The functional is PBE.

a = 5.9445 Å, b = 5.9445 Å, c = 4.4092 Å
α = 90.00°, β = 90.00°, γ = 90.00°
Last column: nearest neighbours and their distance in Å.
Fractional coordinates of all 5 atoms:
Sr1 0.0000 0.5000 0.0000  2 Ni 2.97
Sr2 0.5000 0.0000 0.0000  2 Ni 2.97
Ni1 0.0000 0.0000 0.0000  2 Ge 2.20
Ge1 0.0000 0.0000 0.5000  2 Ni 2.20
I1 0.5000 0.5000 0.5000  8 Sr 3.70

Its density of states at the Fermi level is 1.67 states/eV/cell. As for the size of the total moment: 0.00 μB/atom. Its space group is P4/mmm, No. 123. The value obtained for the formation energy (no corrections) is -66.77 kJ per mole of atoms.

[3]
This record from the Alexandria database describes a geometry-optimized NiGeTe2I structure. The functional is PBE.

a = 5.4303 Å, b = 5.4303 Å, c = 5.6074 Å
α = 90.00°, β = 90.00°, γ = 90.00°
Last column: nearest neighbours and their distance in Å.
Fractional coordinates of all 5 atoms:
Ni1 0.0000 0.0000 0.0000  4 I 3.84, 8 Te 3.90
Ge1 0.5000 0.5000 0.5000  4 Te 2.72, 2 I 2.80
Te1 0.0000 0.5000 0.5000  2 Ge 2.72
Te2 0.5000 0.0000 0.5000  2 Ge 2.72
I1 0.5000 0.5000 0.0000  2 Ge 2.80

Its energy above the most stable polymorph in this dataset is 2.69 eV/f.u. Its density of states at the Fermi level is 11.71 states/eV/cell. As for the size of the total moment: 0.32 μB/atom. Its space group is P4/mmm, No. 123. The value obtained for the formation energy (no corrections) is 87.05 kJ per mole of atoms.